(1)
Compound: Ca2OsAuN
Source: Alexandria
Functional: PBE
Structure: relaxed

Structure (POSCAR):
```
Ca2OsAuN
1.0
5.095 0.000 0.000
0.000 5.095 0.000
0.000 0.000 3.776
Ca Os Au N
2 1 1 1
Direct
0.000 0.500 0.000
0.500 0.000 0.000
0.000 0.000 0.500
0.500 0.500 0.500
0.000 0.000 0.000
```

Calculated values
- V (Å³/cell) = 98.0



(2)
Compound: Ca6PAu2N
Source: Alexandria
Functional: PBE
Structure: relaxed

Structure (POSCAR):
```
Ca6PAu2N
1.0
6.844 0.000 0.000
0.000 7.574 0.000
-6.485 0.000 10.045
Ca P Au N
12 2 4 2
Direct
0.130 0.026 0.234
0.130 0.474 0.734
0.220 0.714 0.050
0.220 0.786 0.550
0.345 0.177 0.048
0.345 0.323 0.548
0.655 0.677 0.452
0.655 0.823 0.952
0.780 0.214 0.450
0.780 0.286 0.950
0.870 0.526 0.266
0.870 0.974 0.766
0.500 0.000 0.500
0.500 0.500 0.000
0.285 0.083 0.750
0.285 0.417 0.250
0.715 0.583 0.750
0.715 0.917 0.250
0.000 0.000 0.000
0.000 0.500 0.500
```

Calculated values
- V (Å³/cell) = 520.7



The records above yield formation energy (no corrections) values of -0.563, -0.761 eV/atom, respectively.
The records above yield energy values of -5.930, -3.991 eV/atom, respectively.